Record 1
Below is a relaxed structure of MgZrBIr, with properties calculated at the PBE level.

For the excess energy over the best structure of this formula in the dataset, the calculation gives 0.170 eV/atom. Its total energy is -100.70 eV for the cell shown.

The structure belongs to space group F-43m (No. 216); the cell edges are 6.120, 6.120 and 6.120 Å and the angles 90.00°, 90.00° and 90.00°. The distinct sites, in fractional coordinates, are Mg at (0.000, 0.000, 0.000), Zr at (0.250, 0.250, 0.750), B at (0.000, 0.000, 0.500) and Ir at (0.250, 0.250, 0.250).


Record 2
Below is a relaxed structure of SrCdPO, with properties calculated at the PBE level.

Its total energy is -33.94 eV for the cell shown.

The structure belongs to space group Pmc2_1 (No. 26); the cell edges are 3.958, 7.799 and 6.186 Å and the angles 90.00°, 90.00° and 90.00°. The distinct sites, in fractional coordinates, are Sr at (0.000, 0.230, 0.000), Cd at (0.500, 0.360, 0.549), P at (0.000, 0.153, 0.493) and O at (0.500, 0.381, 0.922).


Record 3
Below is a relaxed structure of NdHoSb2Te2, with properties calculated at the PBE level.

Its total energy is -30.60 eV for the cell shown.

The structure belongs to space group P4mm (No. 99); the cell edges are 4.314, 4.314 and 9.369 Å and the angles 90.00°, 90.00° and 90.00°. The distinct sites, in fractional coordinates, are Nd at (0.000, 0.000, 0.000), Ho at (0.500, 0.500, 0.451), Sb at (0.000, 0.500, 0.721), Te at (0.000, 0.000, 0.356) and Te at (0.500, 0.500, 0.107).


Record 4
Below is a relaxed structure of LiLuIn2F6, with properties calculated at the PBE level.

For the excess energy over the best structure of this formula in the dataset, the calculation gives 0.000 eV/atom. Its total energy is -206.32 eV for the cell shown.

The structure belongs to space group Fm-3m (No. 225); the cell edges are 8.260, 8.260 and 8.260 Å and the angles 90.00°, 90.00° and 90.00°. The distinct sites, in fractional coordinates, are Li at (0.000, 0.000, 0.000), Lu at (0.000, 0.000, 0.500), In at (0.250, 0.250, 0.250) and F at (0.000, 0.000, 0.245).


Record 5
Below is a relaxed structure of ZrCu2Ge, with properties calculated at the PBE level.

Its total energy is -85.10 eV for the cell shown.

The structure belongs to space group F-43m (No. 216); the cell edges are 6.291, 6.291 and 6.291 Å and the angles 90.00°, 90.00° and 90.00°. The distinct sites, in fractional coordinates, are Zr at (0.000, 0.000, 0.000), Cu at (0.000, 0.000, 0.500), Cu at (0.250, 0.250, 0.250) and Ge at (0.250, 0.250, 0.750).


Record 6
Below is a relaxed structure of LuZnTc, with properties calculated at the PBE level.

The value obtained for the formation energy is 950 meV per atom. For the excess energy over the best structure of this formula in the dataset, the calculation gives 0.499 eV/atom. Its total energy is -53.20 eV for the cell shown.

The structure belongs to space group F-43m (No. 216); the cell edges are 6.417, 6.417 and 6.417 Å and the angles 90.00°, 90.00° and 90.00°. The distinct sites, in fractional coordinates, are Lu at (0.000, 0.000, 0.000), Zn at (0.250, 0.250, 0.250) and Tc at (0.250, 0.250, 0.750).


Record 7
Below is a relaxed structure of PrTmFe, with properties calculated at the PBE level.

The value obtained for the formation energy is 254 meV per atom. For the excess energy over the best structure of this formula in the dataset, the calculation gives 0.000 eV/atom. Its total energy is -67.19 eV for the cell shown.

The structure belongs to space group F-43m (No. 216); the cell edges are 6.682, 6.682 and 6.682 Å and the angles 90.00°, 90.00° and 90.00°. The distinct sites, in fractional coordinates, are Pr at (0.000, 0.000, 0.000), Tm at (0.000, 0.000, 0.500) and Fe at (0.250, 0.250, 0.250).


Record 8
Below is a relaxed structure of SmGd2AuSe6, with properties calculated at the PBE level.

Its total energy is -51.78 eV for the cell shown.

The structure belongs to space group P-1 (No. 2); the cell edges are 4.464, 7.108 and 8.833 Å and the angles 90.38°, 101.89° and 98.51°. The distinct sites, in fractional coordinates, are Sm at (0.000, 0.000, 0.000), Gd at (0.358, 0.450, 0.726), Au at (0.000, 0.000, 0.500), Se at (0.142, 0.322, 0.392), Se at (0.202, 0.831, 0.297) and Se at (0.431, 0.730, 0.977).


Record 9
Below is a relaxed structure of LuGa, with properties calculated at the PBE level.

Its total energy is -25.68 eV for the cell shown.

The structure belongs to space group F-43m (No. 216); the cell edges are 6.492, 6.492 and 6.492 Å and the angles 90.00°, 90.00° and 90.00°. The distinct sites, in fractional coordinates, are Lu at (0.000, 0.000, 0.000) and Ga at (0.250, 0.250, 0.250).


Record 10
Below is a relaxed structure of RbScAuSe3, with properties calculated at the PBE level.

Its total energy is -108.45 eV for the cell shown.

The structure belongs to space group Cmcm (No. 63); the cell edges are 3.906, 15.752 and 10.357 Å and the angles 90.00°, 90.00° and 90.00°. The distinct sites, in fractional coordinates, are Rb at (0.000, 0.243, 0.250), Sc at (0.000, 0.000, 0.000), Au at (0.000, 0.460, 0.750), Se at (0.000, 0.071, 0.750) and Se at (0.000, 0.379, 0.536).


Record 11
Below is a relaxed structure of NdDyMo2C3, with properties calculated at the PBE level.

Its total energy is -120.97 eV for the cell shown.

The structure belongs to space group Cm (No. 8); the cell edges are 11.382, 3.436 and 5.793 Å and the angles 90.00°, 106.63° and 90.00°. The distinct sites, in fractional coordinates, are Nd at (0.000, 0.000, 0.000), Dy at (0.224, 0.000, 0.647), Mo at (0.262, 0.500, 0.207), Mo at (0.459, 0.000, 0.446), C at (0.113, 0.500, 0.336), C at (0.334, 0.000, 0.088) and C at (0.382, 0.500, 0.560).


Record 12
Below is a relaxed structure of Nd3Si4Sn4, with properties calculated at the PBE level.

Its total energy is -109.09 eV for the cell shown.

The structure belongs to space group Immm (No. 71); the cell edges are 4.579, 7.163 and 16.675 Å and the angles 90.00°, 90.00° and 90.00°. The distinct sites, in fractional coordinates, are Nd at (0.000, 0.000, 0.000), Nd at (0.000, 0.500, 0.134), Si at (0.000, 0.328, 0.349), Sn at (0.000, 0.000, 0.216) and Sn at (0.000, 0.194, 0.500).


Record 13
Below is a relaxed structure of KTbMgTe3, with properties calculated at the PBE level.

Its total energy is -47.85 eV for the cell shown.

The structure belongs to space group P2_1/m (No. 11); the cell edges are 9.666, 4.514 and 10.636 Å and the angles 90.00°, 107.26° and 90.00°. The distinct sites, in fractional coordinates, are K at (0.203, 0.250, 0.230), Tb at (0.332, 0.750, 0.864), Mg at (0.085, 0.250, 0.608), Te at (0.109, 0.250, 0.871), Te at (0.219, 0.750, 0.536) and Te at (0.459, 0.750, 0.164).